[1]
A geometry-optimized Tm12Sn2Pb5 structure, computed with PBE-GGA.

Structure (CIF):
```
data_Tm12Sn2Pb5
_chemical_formula_sum 'Tm24 Sn4 Pb10'
_symmetry_space_group_name_H-M 'C 1 2/m 1'
_symmetry_Int_Tables_number 12
_symmetry_space_group_name_Hall '-C 2y'
_cell_length_a 17.292
_cell_length_b 7.001
_cell_length_c 10.108
_cell_angle_alpha 90.00
_cell_angle_beta 102.05
_cell_angle_gamma 90.00
loop_
_atom_site_label
_atom_site_fract_x
_atom_site_fract_y
_atom_site_fract_z
Tm1 0.013 0.000 0.287
Tm2 0.084 0.500 0.821
Tm3 0.147 0.241 0.567
Tm4 0.176 0.247 0.102
Sn1 0.000 0.233 0.000
Pb1 0.000 0.500 0.500
Pb2 0.170 0.000 0.830
Pb3 0.205 0.000 0.356
```

mass density	9.16	g/cm³
DOS(E_F)	0.95	states/eV/atom
energy of formation from the pure elements	-0.20	eV/atom

[2]
A geometry-optimized Mg4NiIr structure, computed with PBE-GGA.

Structure (CIF):
```
data_Mg4NiIr
_chemical_formula_sum 'Mg4 Ni1 Ir1'
_symmetry_space_group_name_H-M 'P 4/m m m'
_symmetry_Int_Tables_number 123
_symmetry_space_group_name_Hall '-P 4 2'
_cell_length_a 3.175
_cell_length_b 3.175
_cell_length_c 10.097
_cell_angle_alpha 90.00
_cell_angle_beta 90.00
_cell_angle_gamma 90.00
loop_
_atom_site_label
_atom_site_fract_x
_atom_site_fract_y
_atom_site_fract_z
Mg1 0.000 0.000 0.143
Mg2 0.500 0.500 0.355
Ni1 0.500 0.500 0.000
Ir1 0.000 0.000 0.500
```

mass density	5.68	g/cm³
DOS(E_F)	0.35	states/eV/atom
energy of formation from the pure elements	-0.22	eV/atom

[3]
A geometry-optimized Cu4SiBr structure, computed with PBE-GGA.

Structure (CIF):
```
data_Cu4SiBr
_chemical_formula_sum 'Cu16 Si4 Br4'
_symmetry_space_group_name_H-M 'F -4 3 m'
_symmetry_Int_Tables_number 216
_symmetry_space_group_name_Hall 'F -4 2 3'
_cell_length_a 7.107
_cell_length_b 7.107
_cell_length_c 7.107
_cell_angle_alpha 90.00
_cell_angle_beta 90.00
_cell_angle_gamma 90.00
loop_
_atom_site_label
_atom_site_fract_x
_atom_site_fract_y
_atom_site_fract_z
Cu1 0.124 0.124 0.376
Si1 0.250 0.250 0.750
Br1 0.000 0.000 0.000
```

mass density	6.70	g/cm³
DOS(E_F)	0.49	states/eV/atom
energy relative to the elements, uncorrected	0.4183	eV/atom

[4]
A geometry-optimized Sc3Ga7 structure, computed with PBE-GGA.

Structure (CIF):
```
data_Sc3Ga7
_chemical_formula_sum 'Sc6 Ga14'
_symmetry_space_group_name_H-M 'C 1 2/m 1'
_symmetry_Int_Tables_number 12
_symmetry_space_group_name_Hall '-C 2y'
_cell_length_a 15.303
_cell_length_b 4.073
_cell_length_c 5.807
_cell_angle_alpha 90.00
_cell_angle_beta 99.36
_cell_angle_gamma 90.00
loop_
_atom_site_label
_atom_site_fract_x
_atom_site_fract_y
_atom_site_fract_z
Sc1 0.000 0.000 0.000
Sc2 0.186 0.000 0.601
Ga1 0.000 0.000 0.500
Ga2 0.094 0.500 0.798
Ga3 0.108 0.500 0.287
Ga4 0.208 0.000 0.112
```

mass density	5.79	g/cm³
DOS(E_F)	0.46	states/eV/atom
energy of formation from the pure elements	-0.51	eV/atom

[5]
A geometry-optimized TbHoTi4 structure, computed with PBE-GGA.

Structure (CIF):
```
data_TbHoTi4
_chemical_formula_sum 'Tb4 Ho4 Ti16'
_symmetry_space_group_name_H-M 'F -4 3 m'
_symmetry_Int_Tables_number 216
_symmetry_space_group_name_Hall 'F -4 2 3'
_cell_length_a 8.214
_cell_length_b 8.214
_cell_length_c 8.214
_cell_angle_alpha 90.00
_cell_angle_beta 90.00
_cell_angle_gamma 90.00
loop_
_atom_site_label
_atom_site_fract_x
_atom_site_fract_y
_atom_site_fract_z
Tb1 0.000 0.000 0.000
Ho1 0.250 0.250 0.750
Ti1 0.125 0.125 0.375
```

mass density	6.18	g/cm³
DOS(E_F)	1.13	states/eV/atom
energy of formation from the pure elements	0.24	eV/atom

[6]
A geometry-optimized KCa2InCo structure, computed with PBE-GGA.

Structure (CIF):
```
data_KCa2InCo
_chemical_formula_sum 'K1 Ca2 In1 Co1'
_symmetry_space_group_name_H-M 'P 4/m m m'
_symmetry_Int_Tables_number 123
_symmetry_space_group_name_Hall '-P 4 2'
_cell_length_a 6.122
_cell_length_b 6.122
_cell_length_c 5.616
_cell_angle_alpha 90.00
_cell_angle_beta 90.00
_cell_angle_gamma 90.00
loop_
_atom_site_label
_atom_site_fract_x
_atom_site_fract_y
_atom_site_fract_z
K1 0.000 0.000 0.000
Ca1 0.000 0.500 0.000
In1 0.000 0.000 0.500
Co1 0.500 0.500 0.500
```

mass density	2.31	g/cm³
DOS(E_F)	1.16	states/eV/atom
energy of formation from the pure elements	1.44	eV/atom

Listing volume for the structures above in their given order: 1196.61 101.80 358.94 357.13 554.27 210.51 Å³ per cell.